# 1
First-principles (PBE) data for an optimized crystal structure of CeTl, as listed in Alexandria via LeMat-Bulk.

Output
Symmetry   P2_1/m
Total moment   1.198 μB per formula unit
Formation energy   -0.313 eV/f.u.

Cell lengths 4.662, 4.549, 6.352 Å; angles 90.00, 111.46, 90.00 degrees
Positions (direct):
Ce  0.136  0.250  0.273
Ce  0.864  0.750  0.727
Tl  0.413  0.250  0.825
Tl  0.587  0.750  0.175

=====

# 2
First-principles (PBE) data for an optimized crystal structure of CdSn2SbAu4, as listed in Alexandria via LeMat-Bulk.

Output
Symmetry   Fmm2
Formation energy without anion corrections   -0.087 eV/atom
Total moment   0.000 μB per formula unit

Cell lengths 6.803, 5.758, 7.255 Å; angles 61.78, 48.23, 69.99 degrees
Positions (direct):
Cd  0.000  0.000  0.000
Sn  0.247  0.247  0.253
Sn  0.747  0.747  0.753
Sb  0.498  0.498  0.502
Au  0.246  0.749  0.251
Au  0.500  0.998  0.500
Au  0.749  0.246  0.754
Au  0.998  0.500  0.002

=====

# 3
First-principles (PBE) data for an optimized crystal structure of InMo2Br, as listed in Alexandria via LeMat-Bulk.

Output
E above lowest polymorph   135 meV/atom
Symmetry   Cmm2
Formation energy without anion corrections   0.400 eV/atom
Total moment   0.000 μB per formula unit

Cell lengths 3.086, 3.086, 9.846 Å; angles 90.00, 90.00, 115.31 degrees
Positions (direct):
In  0.000  0.000  0.000
Mo  0.000  0.000  0.444
Mo  0.500  0.500  0.256
Br  0.500  0.500  0.668

=====

# 4
First-principles (PBE) data for an optimized crystal structure of Sm2YAu3, as listed in Alexandria via LeMat-Bulk.

Output
E above lowest polymorph   5 meV/atom
Symmetry   P-3m1
Total moment   0.000 μB per formula unit
Formation energy   -4.895 eV/f.u.

Cell lengths 5.161, 5.161, 6.351 Å; angles 90.00, 90.00, 120.00 degrees
Positions (direct):
Sm  0.333  0.667  0.168
Sm  0.667  0.333  0.832
Y  0.000  0.000  0.500
Au  0.000  0.000  0.000
Au  0.333  0.667  0.661
Au  0.667  0.333  0.339

=====

Q: Look up the total moment of the second one.
A: 0.000 μB per formula unit

=====

Q: The highest total moment belongs to which entry?
A: CeTl